# PBE-GGA SrGa7Cu5, optimized geometry
# V, Å³/atom: 15.930
# E_form, eV/atom: -0.202
data_SrGa7Cu5
_symmetry_space_group_name_H-M 'I m m 2'
_symmetry_Int_Tables_number 44
_symmetry_space_group_name_Hall 'I 2 -2'
_cell_length_a 5.211
_cell_length_b 8.995
_cell_length_c 8.837
_cell_angle_alpha 90.00
_cell_angle_beta 90.00
_cell_angle_gamma 90.00
loop_
_atom_site_label
_atom_site_fract_x
_atom_site_fract_y
_atom_site_fract_z
Sr1 0.000 0.000 0.000
Ga1 0.000 0.000 0.354
Ga2 0.000 0.000 0.653
Ga3 0.000 0.288 0.492
Ga4 0.000 0.349 0.011
Ga5 0.000 0.500 0.733
Cu1 0.000 0.500 0.271
Cu2 0.248 0.250 0.748

=====

# PBE-GGA KTeP, optimized geometry
# Distance to the lowest polymorph of the same formula, meV per atom: 606
# V, Å³/atom: 31.779
# Formation energy (no corrections), kJ/mol of formula units: 44
data_KTeP
_symmetry_space_group_name_H-M 'F -4 3 m'
_symmetry_Int_Tables_number 216
_symmetry_space_group_name_Hall 'F -4 2 3'
_cell_length_a 7.252
_cell_length_b 7.252
_cell_length_c 7.252
_cell_angle_alpha 90.00
_cell_angle_beta 90.00
_cell_angle_gamma 90.00
loop_
_atom_site_label
_atom_site_fract_x
_atom_site_fract_y
_atom_site_fract_z
K1 0.000 0.000 0.000
Te1 0.000 0.000 0.500
P1 0.250 0.250 0.250

=====

# PBE-GGA La3TlSb, optimized geometry
# Distance to the lowest polymorph of the same formula, meV per atom: 0
# V, Å³/atom: 33.640
# Formation energy (no corrections), kJ/mol of formula units: -300
data_La3TlSb
_symmetry_space_group_name_H-M 'C 1 m 1'
_symmetry_Int_Tables_number 8
_symmetry_space_group_name_Hall 'C -2y'
_cell_length_a 16.998
_cell_length_b 5.015
_cell_length_c 8.294
_cell_angle_alpha 90.00
_cell_angle_beta 107.89
_cell_angle_gamma 90.00
loop_
_atom_site_label
_atom_site_fract_x
_atom_site_fract_y
_atom_site_fract_z
La1 0.000 0.000 0.000
La2 0.011 0.000 0.487
La3 0.139 0.500 0.446
La4 0.217 0.000 0.856
La5 0.291 0.500 0.158
La6 0.368 0.000 0.562
Tl1 0.071 0.500 0.796
Tl2 0.187 0.000 0.262
Sb1 0.315 0.500 0.747
Sb2 0.430 0.000 0.210

=====

# PBE-GGA Al2NiAu, optimized geometry
# V, Å³/atom: 14.335
# E_form, eV/atom: -0.390
data_Al2NiAu
_symmetry_space_group_name_H-M 'I -4 m 2'
_symmetry_Int_Tables_number 119
_symmetry_space_group_name_Hall 'I -4 -2'
_cell_length_a 3.778
_cell_length_b 3.778
_cell_length_c 8.034
_cell_angle_alpha 90.00
_cell_angle_beta 90.00
_cell_angle_gamma 90.00
loop_
_atom_site_label
_atom_site_fract_x
_atom_site_fract_y
_atom_site_fract_z
Al1 0.000 0.000 0.000
Al2 0.000 0.500 0.250
Ni1 0.000 0.500 0.750
Au1 0.000 0.000 0.500

=====

# PBE-GGA La3PrTlRh, optimized geometry
# V, Å³/atom: 30.832
# E_form, eV/atom: -0.382
data_La3PrTlRh
_symmetry_space_group_name_H-M 'C 1 2/m 1'
_symmetry_Int_Tables_number 12
_symmetry_space_group_name_Hall '-C 2y'
_cell_length_a 16.801
_cell_length_b 7.614
_cell_length_c 6.195
_cell_angle_alpha 90.00
_cell_angle_beta 110.97
_cell_angle_gamma 90.00
loop_
_atom_site_label
_atom_site_fract_x
_atom_site_fract_y
_atom_site_fract_z
La1 0.120 0.249 0.115
La2 0.186 0.500 0.679
Pr1 0.000 0.202 0.500
Tl1 0.195 0.000 0.697
Rh1 0.002 0.500 0.769

=====

# PBE-GGA PPdRu3, optimized geometry
# Distance to the lowest polymorph of the same formula, meV per atom: 1703
# V, Å³/atom: 21.320
# E_form, eV/atom: 2.215
data_PPdRu3
_symmetry_space_group_name_H-M 'P m -3 m'
_symmetry_Int_Tables_number 221
_symmetry_space_group_name_Hall '-P 4 2 3'
_cell_length_a 4.742
_cell_length_b 4.742
_cell_length_c 4.742
_cell_angle_alpha 90.00
_cell_angle_beta 90.00
_cell_angle_gamma 90.00
loop_
_atom_site_label
_atom_site_fract_x
_atom_site_fract_y
_atom_site_fract_z
P1 0.000 0.000 0.000
Pd1 0.500 0.500 0.500
Ru1 0.000 0.500 0.500

=====

# PBE-GGA Tb2NdHo2Sc2, optimized geometry
# V, Å³/atom: 30.734
# E_form, eV/atom: 0.184
data_Tb2NdHo2Sc2
_symmetry_space_group_name_H-M 'C 1 2/m 1'
_symmetry_Int_Tables_number 12
_symmetry_space_group_name_Hall '-C 2y'
_cell_length_a 17.258
_cell_length_b 3.393
_cell_length_c 8.215
_cell_angle_alpha 90.00
_cell_angle_beta 116.58
_cell_angle_gamma 90.00
loop_
_atom_site_label
_atom_site_fract_x
_atom_site_fract_y
_atom_site_fract_z
Tb1 0.073 0.000 0.417
Nd1 0.000 0.500 0.000
Ho1 0.213 0.500 0.291
Sc1 0.152 0.000 0.893

=====

# PBE-GGA Ce2Ho2Si3, optimized geometry
# V, Å³/atom: 27.909
# Formation energy (no corrections), kJ/mol of formula units: -267
data_Ce2Ho2Si3
_symmetry_space_group_name_H-M 'C 1 2/m 1'
_symmetry_Int_Tables_number 12
_symmetry_space_group_name_Hall '-C 2y'
_cell_length_a 13.351
_cell_length_b 4.254
_cell_length_c 6.990
_cell_angle_alpha 90.00
_cell_angle_beta 100.17
_cell_angle_gamma 90.00
loop_
_atom_site_label
_atom_site_fract_x
_atom_site_fract_y
_atom_site_fract_z
Ce1 0.123 0.000 0.365
Ho1 0.131 0.500 0.869
Si1 0.000 0.500 0.500
Si2 0.250 0.000 0.748